## TiBi2Cl (PBEsol)

Data for a geometry-optimized TiBi2Cl structure.

Geometry as extended XYZ:
```
8
Lattice="4.425 0.000 0.000 0.000 4.425 0.000 -2.212 -2.212 10.877" Properties=species:S:1:pos:R:3 pbc="T T T"
Cl 2.212 0.000 5.439
Cl 2.212 2.212 0.000
Bi 0.996 3.318 2.719
Bi 3.429 1.106 2.719
Bi -1.106 -1.217 8.158
Bi 1.106 1.217 8.158
Ti 0.000 2.212 5.439
Ti 0.000 0.000 0.000
```

Computed properties:
Formation energy (no corrections)   0.14 eV/atom